# HfRhO2F (GGA-PBE, optimized geometry)
# E_tot ... -32.36 eV/cell
# Crystal system ... tetragonal
data_HfRhO2F
_space_group_name_H-M_alt 'P 4/m m m'
_space_group_IT_number 123
_space_group_name_Hall '-P 4 2'
_cell_length_a 3.987
_cell_length_b 3.987
_cell_length_c 4.038
_cell_angle_alpha 90.00
_cell_angle_beta 90.00
_cell_angle_gamma 90.00
loop_
_atom_site_label
_atom_site_type_symbol
_atom_site_fract_x
_atom_site_fract_y
_atom_site_fract_z
Hf1 Hf 0.000 0.000 0.000
Rh1 Rh 0.500 0.500 0.500
O1 O 0.000 0.500 0.500
F1 F 0.500 0.500 0.000



# HfRhO2F (GGA-PBE, optimized geometry)
# E_tot ... -38.35 eV/cell
# Crystal system ... tetragonal
data_HfRhO2F
_space_group_name_H-M_alt 'P 4/m m m'
_space_group_IT_number 123
_space_group_name_Hall '-P 4 2'
_cell_length_a 4.113
_cell_length_b 4.113
_cell_length_c 4.091
_cell_angle_alpha 90.00
_cell_angle_beta 90.00
_cell_angle_gamma 90.00
loop_
_atom_site_label
_atom_site_type_symbol
_atom_site_fract_x
_atom_site_fract_y
_atom_site_fract_z
Hf1 Hf 0.000 0.000 0.000
Rh1 Rh 0.500 0.500 0.500
O1 O 0.000 0.500 0.000
F1 F 0.000 0.000 0.500



# HfRhOF2 (GGA-PBE, optimized geometry)
# E_tot ... -28.82 eV/cell
# Crystal system ... tetragonal
data_HfRhOF2
_space_group_name_H-M_alt 'P 4/m m m'
_space_group_IT_number 123
_space_group_name_Hall '-P 4 2'
_cell_length_a 4.182
_cell_length_b 4.182
_cell_length_c 3.991
_cell_angle_alpha 90.00
_cell_angle_beta 90.00
_cell_angle_gamma 90.00
loop_
_atom_site_label
_atom_site_type_symbol
_atom_site_fract_x
_atom_site_fract_y
_atom_site_fract_z
Hf1 Hf 0.000 0.000 0.000
Rh1 Rh 0.500 0.500 0.500
O1 O 0.500 0.500 0.000
F1 F 0.000 0.500 0.500



# HfRhOF2 (GGA-PBE, optimized geometry)
# E_tot ... -35.49 eV/cell
# Crystal system ... tetragonal
data_HfRhOF2
_space_group_name_H-M_alt 'P 4/m m m'
_space_group_IT_number 123
_space_group_name_Hall '-P 4 2'
_cell_length_a 4.184
_cell_length_b 4.184
_cell_length_c 4.056
_cell_angle_alpha 90.00
_cell_angle_beta 90.00
_cell_angle_gamma 90.00
loop_
_atom_site_label
_atom_site_type_symbol
_atom_site_fract_x
_atom_site_fract_y
_atom_site_fract_z
Hf1 Hf 0.000 0.000 0.000
Rh1 Rh 0.500 0.500 0.500
O1 O 0.000 0.000 0.500
F1 F 0.000 0.500 0.000



# HfRuOF2 (GGA-PBE, optimized geometry)
# E_tot ... -35.86 eV/cell
# Crystal system ... tetragonal
data_HfRuOF2
_space_group_name_H-M_alt 'P 4/m m m'
_space_group_IT_number 123
_space_group_name_Hall '-P 4 2'
_cell_length_a 4.202
_cell_length_b 4.202
_cell_length_c 4.078
_cell_angle_alpha 90.00
_cell_angle_beta 90.00
_cell_angle_gamma 90.00
loop_
_atom_site_label
_atom_site_type_symbol
_atom_site_fract_x
_atom_site_fract_y
_atom_site_fract_z
Hf1 Hf 0.000 0.000 0.000
Ru1 Ru 0.500 0.500 0.500
O1 O 0.000 0.000 0.500
F1 F 0.000 0.500 0.000



# HfRuOF2 (GGA-PBE, optimized geometry)
# E_tot ... -30.67 eV/cell
# Crystal system ... tetragonal
data_HfRuOF2
_space_group_name_H-M_alt 'P 4/m m m'
_space_group_IT_number 123
_space_group_name_Hall '-P 4 2'
_cell_length_a 4.409
_cell_length_b 4.409
_cell_length_c 3.700
_cell_angle_alpha 90.00
_cell_angle_beta 90.00
_cell_angle_gamma 90.00
loop_
_atom_site_label
_atom_site_type_symbol
_atom_site_fract_x
_atom_site_fract_y
_atom_site_fract_z
Hf1 Hf 0.000 0.000 0.000
Ru1 Ru 0.500 0.500 0.500
O1 O 0.500 0.500 0.000
F1 F 0.000 0.500 0.500



# HfSO2F (GGA-PBE, optimized geometry)
# E_tot ... -27.15 eV/cell
# Crystal system ... tetragonal
data_HfSO2F
_space_group_name_H-M_alt 'P 4/m m m'
_space_group_IT_number 123
_space_group_name_Hall '-P 4 2'
_cell_length_a 3.655
_cell_length_b 3.655
_cell_length_c 4.877
_cell_angle_alpha 90.00
_cell_angle_beta 90.00
_cell_angle_gamma 90.00
loop_
_atom_site_label
_atom_site_type_symbol
_atom_site_fract_x
_atom_site_fract_y
_atom_site_fract_z
Hf1 Hf 0.000 0.000 0.000
S1 S 0.500 0.500 0.500
O1 O 0.000 0.500 0.500
F1 F 0.500 0.500 0.000



# HfSO2F (GGA-PBE, optimized geometry)
# E_tot ... -34.91 eV/cell
# Crystal system ... tetragonal
data_HfSO2F
_space_group_name_H-M_alt 'P 4/m m m'
_space_group_IT_number 123
_space_group_name_Hall '-P 4 2'
_cell_length_a 4.140
_cell_length_b 4.140
_cell_length_c 4.188
_cell_angle_alpha 90.00
_cell_angle_beta 90.00
_cell_angle_gamma 90.00
loop_
_atom_site_label
_atom_site_type_symbol
_atom_site_fract_x
_atom_site_fract_y
_atom_site_fract_z
Hf1 Hf 0.000 0.000 0.000
S1 S 0.500 0.500 0.500
O1 O 0.000 0.500 0.000
F1 F 0.000 0.000 0.500



# HfSbOF2 (GGA-PBE, optimized geometry)
# E_tot ... -25.86 eV/cell
# Crystal system ... tetragonal
data_HfSbOF2
_space_group_name_H-M_alt 'P 4/m m m'
_space_group_IT_number 123
_space_group_name_Hall '-P 4 2'
_cell_length_a 4.602
_cell_length_b 4.602
_cell_length_c 4.238
_cell_angle_alpha 90.00
_cell_angle_beta 90.00
_cell_angle_gamma 90.00
loop_
_atom_site_label
_atom_site_type_symbol
_atom_site_fract_x
_atom_site_fract_y
_atom_site_fract_z
Hf1 Hf 0.000 0.000 0.000
Sb1 Sb 0.500 0.500 0.500
O1 O 0.500 0.500 0.000
F1 F 0.000 0.500 0.500



# HfSbOF2 (GGA-PBE, optimized geometry)
# E_tot ... -32.94 eV/cell
# Crystal system ... tetragonal
data_HfSbOF2
_space_group_name_H-M_alt 'P 4/m m m'
_space_group_IT_number 123
_space_group_name_Hall '-P 4 2'
_cell_length_a 4.432
_cell_length_b 4.432
_cell_length_c 4.034
_cell_angle_alpha 90.00
_cell_angle_beta 90.00
_cell_angle_gamma 90.00
loop_
_atom_site_label
_atom_site_type_symbol
_atom_site_fract_x
_atom_site_fract_y
_atom_site_fract_z
Hf1 Hf 0.000 0.000 0.000
Sb1 Sb 0.500 0.500 0.500
O1 O 0.000 0.000 0.500
F1 F 0.000 0.500 0.000



# HfSbO2F (GGA-PBE, optimized geometry)
# E_tot ... -36.22 eV/cell
# Crystal system ... tetragonal
data_HfSbO2F
_space_group_name_H-M_alt 'P 4/m m m'
_space_group_IT_number 123
_space_group_name_Hall '-P 4 2'
_cell_length_a 4.160
_cell_length_b 4.160
_cell_length_c 4.288
_cell_angle_alpha 90.00
_cell_angle_beta 90.00
_cell_angle_gamma 90.00
loop_
_atom_site_label
_atom_site_type_symbol
_atom_site_fract_x
_atom_site_fract_y
_atom_site_fract_z
Hf1 Hf 0.000 0.000 0.000
Sb1 Sb 0.500 0.500 0.500
O1 O 0.000 0.500 0.000
F1 F 0.000 0.000 0.500



# HfSbO2F (GGA-PBE, optimized geometry)
# E_tot ... -28.65 eV/cell
# Crystal system ... tetragonal
data_HfSbO2F
_space_group_name_H-M_alt 'P 4/m m m'
_space_group_IT_number 123
_space_group_name_Hall '-P 4 2'
_cell_length_a 4.294
_cell_length_b 4.294
_cell_length_c 4.368
_cell_angle_alpha 90.00
_cell_angle_beta 90.00
_cell_angle_gamma 90.00
loop_
_atom_site_label
_atom_site_type_symbol
_atom_site_fract_x
_atom_site_fract_y
_atom_site_fract_z
Hf1 Hf 0.000 0.000 0.000
Sb1 Sb 0.500 0.500 0.500
O1 O 0.000 0.500 0.500
F1 F 0.500 0.500 0.000



For reference, V by record: 64.2 69.2 69.8 71.0 72.0 71.9 65.2 71.8 89.8 79.2 74.2 80.5 Å³ per cell.
For reference, density of states at the Fermi level by record: 2.8 3.8 4.2 3.4 4.7 5.0 3.0 1.6 3.8 3.0 2.2 3.9 states/eV/cell.